10
Lattice="6.4309 0.0000 0.0000 0.0000 3.6725 0.0000 -2.1654 0.0000 9.6951" Properties=species:S:1:pos:R:3 comment="GGA-PBE TiMnSe3, relaxed" space_group="No. 11" e_tot_ev_per_atom=-6.278 raw_formation_energy_ev_per_atom=-0.7741 pbc="T T T"
Ti 0.6926 0.9181 1.7963
Ti 3.5729 2.7544 7.8989
Mn 0.6146 0.9181 7.9482
Mn 3.6509 2.7544 1.7469
Se -0.5595 2.7544 2.9939
Se 1.5702 2.7544 0.0333
Se 1.6310 2.7544 6.4891
Se 2.6345 0.9181 3.2060
Se 2.6953 0.9181 9.6618
Se 4.8250 0.9181 6.7012